The following is a GGA-PBE calculation of a geometry-optimized HoSI structure, from Alexandria.

Properties
Theoretical density ... 5.943 Mg/m³
Relative energy among the computed polymorphs ... 0.403 eV/atom
Formation energy without anion corrections ... -1.4090 eV/atom
E ... -28.965 eV for the cell shown
Spin magnetization ... 0.00 μB/cell

Geometry as CIF:
```
data_HoSI
_cell_length_a 3.609
_cell_length_b 3.609
_cell_length_c 13.896
_cell_angle_alpha 90.00
_cell_angle_beta 90.00
_cell_angle_gamma 90.00
_space_group_name_H-M_alt 'I 4 m m'
_space_group_IT_number 107
_space_group_name_Hall 'I 4 -2'
loop_
_atom_site_label
_atom_site_fract_x
_atom_site_fract_y
_atom_site_fract_z
Ho1 0.000 0.000 0.000
S1 0.000 0.000 0.582
I1 0.000 0.000 0.341
```

=====

The following is a GGA-PBE calculation of a geometry-optimized Al2Ni8Mo structure, from Alexandria.

Properties
Theoretical density ... 7.557 Mg/m³
E ... -131.513 eV for the cell shown
Calculated formation energy ... -1.19 eV/f.u.
Spin magnetization ... 0.00 μB/cell

Geometry as CIF:
```
data_Al2Ni8Mo
_cell_length_a 7.365
_cell_length_b 9.777
_cell_length_c 3.781
_cell_angle_alpha 90.00
_cell_angle_beta 90.00
_cell_angle_gamma 90.00
_space_group_name_H-M_alt 'C m m m'
_space_group_IT_number 65
_space_group_name_Hall '-C 2 2'
loop_
_atom_site_label
_atom_site_fract_x
_atom_site_fract_y
_atom_site_fract_z
Al1 0.000 0.128 0.000
Ni1 0.000 0.254 0.500
Ni2 0.166 0.000 0.500
Ni3 0.170 0.369 0.000
Mo1 0.000 0.500 0.500
```

=====

The following is a GGA-PBE calculation of a geometry-optimized Ca3GeSe structure, from Alexandria.

Properties
Theoretical density ... 2.821 Mg/m³
Relative energy among the computed polymorphs ... 0.000 eV/atom
Formation energy without anion corrections ... -0.7559 eV/atom
E ... -17.886 eV for the cell shown
Spin magnetization ... 0.00 μB/cell

Geometry as CIF:
```
data_Ca3GeSe
_cell_length_a 5.429
_cell_length_b 5.429
_cell_length_c 5.429
_cell_angle_alpha 90.00
_cell_angle_beta 90.00
_cell_angle_gamma 90.00
_space_group_name_H-M_alt 'P m -3 m'
_space_group_IT_number 221
_space_group_name_Hall '-P 4 2 3'
loop_
_atom_site_label
_atom_site_fract_x
_atom_site_fract_y
_atom_site_fract_z
Ca1 0.000 0.000 0.500
Ge1 0.500 0.500 0.500
Se1 0.000 0.000 0.000
```

=====

The following is a GGA-PBE calculation of a geometry-optimized Mn2SbH structure, from Alexandria.

Properties
Theoretical density ... 6.648 Mg/m³
Relative energy among the computed polymorphs ... 0.260 eV/atom
E ... -93.783 eV for the cell shown
Spin magnetization ... 24.46 μB/cell

Geometry as CIF:
```
data_Mn2SbH
_cell_length_a 6.149
_cell_length_b 6.149
_cell_length_c 6.149
_cell_angle_alpha 90.00
_cell_angle_beta 90.00
_cell_angle_gamma 90.00
_space_group_name_H-M_alt 'F m -3 m'
_space_group_IT_number 225
_space_group_name_Hall '-F 4 2 3'
loop_
_atom_site_label
_atom_site_fract_x
_atom_site_fract_y
_atom_site_fract_z
Mn1 0.250 0.250 0.250
Sb1 0.000 0.000 0.000
H1 0.000 0.000 0.500
```

=====

The following is a GGA-PBE calculation of a geometry-optimized Hf6CoPt3 structure, from Alexandria.

Properties
Theoretical density ... 14.023 Mg/m³
E ... -181.094 eV for the cell shown
Calculated formation energy ... -5.60 eV/f.u.
Spin magnetization ... 0.00 μB/cell

Geometry as CIF:
```
data_Hf6CoPt3
_cell_length_a 6.102
_cell_length_b 7.141
_cell_length_c 11.098
_cell_angle_alpha 90.00
_cell_angle_beta 122.86
_cell_angle_gamma 90.00
_space_group_name_H-M_alt 'P 1 21/c 1'
_space_group_IT_number 14
loop_
_space_group_symop_operation_xyz
'x,y,z'
'-x,-y,-z'
'-x,y+1/2,-z+1/2'
'x,-y+1/2,z+1/2'
loop_
_atom_site_label
_atom_site_fract_x
_atom_site_fract_y
_atom_site_fract_z
Hf1 0.070 0.055 0.240
Hf2 0.208 0.688 0.068
Hf3 0.410 0.158 0.067
Co1 0.000 0.000 0.000
Pt1 0.310 0.121 0.740
Pt2 0.500 0.000 0.500
```

=====

The following is a GGA-PBE calculation of a geometry-optimized NpBe4Os structure, from Alexandria.

Properties
Theoretical density ... 10.586 Mg/m³
E ... -154.572 eV for the cell shown
Calculated formation energy ... 0.43 eV/f.u.
Spin magnetization ... 12.35 μB/cell

Geometry as CIF:
```
data_NpBe4Os
_cell_length_a 6.624
_cell_length_b 6.624
_cell_length_c 6.624
_cell_angle_alpha 90.00
_cell_angle_beta 90.00
_cell_angle_gamma 90.00
_space_group_name_H-M_alt 'F -4 3 m'
_space_group_IT_number 216
_space_group_name_Hall 'F -4 2 3'
loop_
_atom_site_label
_atom_site_fract_x
_atom_site_fract_y
_atom_site_fract_z
Np1 0.000 0.000 0.000
Be1 0.123 0.123 0.377
Os1 0.250 0.250 0.750
```